1.
BaTbGa2Au2: relaxed, PBE.

The structure in extended XYZ format:
```
6
Lattice="4.665 0.000 0.000 -2.332 4.040 0.000 0.000 0.000 7.981" Properties=species:S:1:pos:R:3 pbc="T T T"
Ba 0.000 0.000 0.000
Tb 0.000 0.000 3.991
Ga 2.332 1.347 2.451
Ga 0.000 2.693 5.530
Au 2.332 1.347 5.514
Au 0.000 2.693 2.467
```

D(E_F)   5.32 states/eV per cell
Formation energy   -724 meV/atom
Space group   No. 164
Raw total energy   -0.144 hartree per atom



2.
BaTbGa2Au5: relaxed, PBE.

The structure in extended XYZ format:
```
9
Lattice="5.055 0.000 0.000 0.000 5.055 0.000 0.000 0.000 8.873" Properties=species:S:1:pos:R:3 pbc="T T T"
Ba 0.000 0.000 4.437
Tb 0.000 0.000 0.000
Ga 2.528 2.528 1.856
Ga 2.528 2.528 7.017
Au 0.000 2.528 1.604
Au 2.528 0.000 1.604
Au 0.000 2.528 7.269
Au 2.528 0.000 7.269
Au 2.528 2.528 4.437
```

D(E_F)   3.35 states/eV per cell
Formation energy   -509 meV/atom
Space group   No. 123
Raw total energy   -0.137 hartree per atom



3.
Ba3Ga2Te2Au4: relaxed, PBE.

The structure in extended XYZ format:
```
11
Lattice="5.044 0.000 0.000 0.000 5.044 0.000 -2.522 -2.522 13.780" Properties=species:S:1:pos:R:3 pbc="T T T"
Ba 0.000 0.000 0.000
Ba 0.000 0.000 4.862
Ba 2.522 2.522 8.918
Ga 0.000 0.000 11.223
Ga 2.522 2.522 2.557
Te 0.000 0.000 8.404
Te 2.522 2.522 5.376
Au 0.000 2.522 11.547
Au 2.522 0.000 11.547
Au 0.000 2.522 2.233
Au 2.522 0.000 2.233
```

D(E_F)   1.98 states/eV per cell
Space group   No. 139
Raw total energy   -0.135 hartree per atom



4.
BaTlGa2Au5: relaxed, PBE.

The structure in extended XYZ format:
```
9
Lattice="-0.325 -3.341 -3.947 -3.316 -2.900 2.728 -6.043 4.108 -2.980" Properties=species:S:1:pos:R:3 pbc="T T T"
Ba -3.022 2.054 -1.490
Tl 0.000 0.000 0.000
Ga -2.822 -2.440 -1.103
Ga -6.863 0.307 -3.096
Au -3.006 -0.534 0.700
Au -1.510 -0.755 -2.638
Au -6.354 1.742 -0.951
Au -4.858 1.521 -4.289
Au -4.843 -1.067 -2.099
```

D(E_F)   2.93 states/eV per cell
Formation energy   -281 meV/atom
Space group   No. 123
Raw total energy   -0.119 hartree per atom



5.
BaTlGaAu2: relaxed, PBE.

The structure in extended XYZ format:
```
5
Lattice="5.181 0.000 0.000 0.000 5.181 0.000 0.000 0.000 5.306" Properties=species:S:1:pos:R:3 pbc="T T T"
Tl 0.000 0.000 2.653
Au 0.000 2.591 0.000
Au 2.591 0.000 0.000
Ba 2.591 2.591 2.653
Ga 0.000 0.000 0.000
```

D(E_F)   2.81 states/eV per cell
Formation energy   -284 meV/atom
Space group   No. 123
Raw total energy   -0.112 hartree per atom



6.
Ba2TlGa4Au3: relaxed, PBE.

The structure in extended XYZ format:
```
10
Lattice="4.717 0.000 0.000 0.000 4.717 0.000 0.000 0.000 11.014" Properties=species:S:1:pos:R:3 pbc="T T T"
Ba 2.359 0.000 2.681
Ba 0.000 2.359 8.333
Tl 2.359 2.359 5.507
Ga 2.359 2.359 0.000
Ga 0.000 0.000 0.000
Ga 2.359 0.000 7.089
Ga 0.000 2.359 3.925
Au 0.000 0.000 5.507
Au 2.359 0.000 9.722
Au 0.000 2.359 1.292
```

D(E_F)   6.47 states/eV per cell
Formation energy   -499 meV/atom
Space group   No. 115
Raw total energy   -0.122 hartree per atom



7.
BaTmGa2Au2: relaxed, PBE.

The structure in extended XYZ format:
```
6
Lattice="4.625 0.000 0.000 -2.313 4.006 0.000 0.000 0.000 7.978" Properties=species:S:1:pos:R:3 pbc="T T T"
Ba 0.000 0.000 0.000
Tm 0.000 0.000 3.989
Ga 2.313 1.335 5.518
Ga 0.000 2.670 2.459
Au 2.313 1.335 2.514
Au 0.000 2.670 5.464
```

D(E_F)   4.27 states/eV per cell
Formation energy   -729 meV/atom
Space group   No. 164
Raw total energy   -0.143 hartree per atom



8.
Ba2Zn6GaAu: relaxed, PBE.

The structure in extended XYZ format:
```
10
Lattice="6.970 -0.068 0.602 -0.044 6.961 -0.603 3.882 3.014 4.970" Properties=species:S:1:pos:R:3 pbc="T T T"
Ba 6.718 3.457 2.292
Ba 4.091 6.450 2.678
Zn 3.134 2.922 2.500
Zn 8.608 8.632 4.319
Zn 2.119 5.631 -0.131
Zn 8.689 4.276 5.100
Zn 2.201 1.275 0.650
Zn 7.674 6.986 2.469
Ga 0.000 0.000 0.000
Au 3.463 3.447 0.000
```

D(E_F)   4.05 states/eV per cell
Formation energy   -250 meV/atom
Space group   No. 2
Raw total energy   -0.075 hartree per atom